Compound: BaLaSi2
Source: Alexandria
Functional: PBE
Structure: relaxed

Calculated values
Energy above the most stable polymorph in this dataset, eV/atom: 0.519
Size of the total moment, μB/f.u.: 0.00
Formation energy from raw total energies, eV/atom: -0.0784

Cell: 3.514 3.514 9.206 Å, 90.00 90.00 89.98°
Fractional positions:
Ba 0.000 0.000 0.426
La 0.500 0.500 0.842
Si 0.000 0.000 0.067
Si 0.500 0.500 0.166